Record 1
A plane-wave DFT calculation with PBE was carried out for crystalline Tb3SmAl8 at its relaxed geometry.

Cell and atoms, written as POSCAR:
```
Tb3SmAl8
1.0
5.581 0.000 0.000
-2.791 4.834 0.000
0.000 0.000 9.181
Tb Al Sm
3 8 1
direct
0.667 0.333 0.067
0.667 0.333 0.431
0.000 0.000 0.932
0.991 0.495 0.752
0.333 0.667 0.499
0.676 0.838 0.249
0.162 0.324 0.249
0.333 0.667 0.001
0.162 0.838 0.249
0.505 0.009 0.752
0.505 0.495 0.752
0.000 0.000 0.568
```

Computed properties:
The value obtained for the formation energy is -509 meV/atom. For the raw total energy, the calculation gives -54.654 eV for the cell shown. As for the distance to the lowest polymorph of the same formula: 9 meV/atom. The value obtained for the volume is 20.6 A^3/atom.

Record 2
A plane-wave DFT calculation with PBE was carried out for crystalline In4NiRh at its relaxed geometry.

Cell and atoms, written as POSCAR:
```
In4NiRh
1.0
0.000 4.007 4.007
4.007 0.000 4.007
4.007 4.007 0.000
In Rh Ni
4 1 1
direct
0.375 0.875 0.375
0.875 0.375 0.375
0.375 0.375 0.375
0.375 0.375 0.875
0.000 0.000 0.000
0.750 0.750 0.750
```

Computed properties:
The value obtained for the formation energy is 660 meV/atom. For the raw total energy, the calculation gives -20.126 eV for the cell shown. The value obtained for the volume is 21.4 A^3/atom.

Record 3
A plane-wave DFT calculation with PBE was carried out for crystalline SiPIr2 at its relaxed geometry.

Cell and atoms, written as POSCAR:
```
SiPIr2
1.0
2.868 -0.015 0.000
-1.403 2.502 0.000
0.000 0.000 8.092
P Si Ir
1 1 2
direct
0.000 0.000 0.505
0.500 0.500 0.744
0.000 0.000 0.974
0.500 0.500 0.277
```

Computed properties:
For the raw total energy, the calculation gives -27.661 eV for the cell shown. The formation energy from raw total energies is 86.2 kJ/mol of formula units. As for the distance to the lowest polymorph of the same formula: 591 meV/atom. The value obtained for the volume is 14.5 A^3/atom.

Q: Which value of raw total energy does entry 2 give?
A: -20.126 eV for the cell shown

Copy entry 2 word for word.
A plane-wave DFT calculation with PBE was carried out for crystalline In4NiRh at its relaxed geometry.

Cell and atoms, written as POSCAR:
```
In4NiRh
1.0
0.000 4.007 4.007
4.007 0.000 4.007
4.007 4.007 0.000
In Rh Ni
4 1 1
direct
0.375 0.875 0.375
0.875 0.375 0.375
0.375 0.375 0.375
0.375 0.375 0.875
0.000 0.000 0.000
0.750 0.750 0.750
```

Computed properties:
The value obtained for the formation energy is 660 meV/atom. For the raw total energy, the calculation gives -20.126 eV for the cell shown. The value obtained for the volume is 21.4 A^3/atom.

Q: Look up the raw total energy of the first one.
A: -54.654 eV for the cell shown